1.
! Y3RuPb (PBE-GGA, optimized geometry); values from VASP
! Density of states at the Fermi level: 0.665 states/eV per atom
! Offset from the most stable computed form: 0.588 eV per atom
! ΔH_f (0 K): 0.18 eV/atom
! Calculated total energy: -62.99 eV per cell
&SYSTEM
  ibrav = 0, nat = 10, ntyp = 3
/
ATOMIC_SPECIES
Pb 207.20 Pb.upf
Ru 101.07 Ru.upf
Y 88.91 Y.upf
CELL_PARAMETERS angstrom
-2.5494 4.1890 7.3356
-0.0868 -8.3336 -2.8986
4.8706 -0.7980 2.1484
ATOMIC_POSITIONS angstrom
Pb 0.6876 -6.2793 -0.5195
Pb 1.5467 1.3367 7.1049
Ru -0.0911 -2.3193 2.7167
Ru 2.3255 -2.6233 3.8687
Y 0.8942 -3.1801 0.1632
Y -0.3525 -5.1401 2.2615
Y 2.5868 0.1975 4.3239
Y 1.3401 -1.7625 6.4222
Y 0.0000 0.0000 0.0000
Y 2.4353 -0.3990 1.0742

2.
! YRu2Pb (PBE-GGA, optimized geometry); values from VASP
! Density of states at the Fermi level: 1.094 states/eV per atom
! ΔH_f (0 K): 0.32 eV/atom
! Calculated total energy: -27.44 eV per cell
&SYSTEM
  ibrav = 0, nat = 4, ntyp = 3
/
ATOMIC_SPECIES
Pb 207.20 Pb.upf
Ru 101.07 Ru.upf
Y 88.91 Y.upf
CELL_PARAMETERS angstrom
4.8216 0.0000 0.0000
2.4108 4.1756 0.0000
2.4108 1.3919 3.9368
ATOMIC_POSITIONS angstrom
Pb 4.8216 2.7838 1.9684
Ru 0.0000 0.0000 0.0000
Ru 2.4108 1.3919 0.9842
Y 7.2324 4.1756 2.9526

3.
! Y3RuPb (PBE-GGA, optimized geometry); values from VASP
! Density of states at the Fermi level: 1.089 states/eV per atom
! Offset from the most stable computed form: 0.929 eV per atom
! ΔH_f (0 K): 0.52 eV/atom
! Calculated total energy: -59.58 eV per cell
&SYSTEM
  ibrav = 0, nat = 10, ntyp = 3
/
ATOMIC_SPECIES
Pb 207.20 Pb.upf
Ru 101.07 Ru.upf
Y 88.91 Y.upf
CELL_PARAMETERS angstrom
5.8424 0.0000 0.0000
0.0000 5.8424 0.0000
2.9212 2.9212 10.8660
ATOMIC_POSITIONS angstrom
Pb 0.0000 0.0000 0.0000
Pb 2.9212 5.8424 5.4330
Ru 5.8424 2.9212 6.6000
Ru 5.8424 2.9212 4.2660
Y 1.3883 5.8424 2.7863
Y 2.9212 7.3753 8.0796
Y 2.9212 4.3094 8.0796
Y 4.4541 5.8424 2.7863
Y 2.9212 2.9212 4.6695
Y 5.8424 5.8424 6.1964

4.
! Y3RuPb (PBE-GGA, optimized geometry); values from VASP
! Density of states at the Fermi level: 0.552 states/eV per atom
! Offset from the most stable computed form: 0.010 eV per atom
! ΔH_f (0 K): -0.40 eV/atom
! Calculated total energy: -68.77 eV per cell
&SYSTEM
  ibrav = 0, nat = 10, ntyp = 3
/
ATOMIC_SPECIES
Y 88.91 Y.upf
Ru 101.07 Ru.upf
Pb 207.20 Pb.upf
CELL_PARAMETERS angstrom
4.7240 -0.0006 0.0064
0.0025 9.7788 -0.0201
2.3547 -0.5320 5.8161
ATOMIC_POSITIONS angstrom
Y 0.9214 5.6278 0.8372
Y 5.6399 3.1198 3.8612
Y 5.6405 7.4456 4.0993
Y 0.9194 0.1750 1.0953
Y 3.2813 2.8889 1.2250
Y 3.2780 0.4060 3.7316
Ru 5.6377 0.1864 5.2854
Ru 3.2759 2.5765 5.4875
Pb 3.2793 5.2352 3.4757
Pb 3.2829 7.8377 1.4608

5.
! Y3RuPb (PBE-GGA, optimized geometry); values from VASP
! Density of states at the Fermi level: 0.746 states/eV per atom
! Offset from the most stable computed form: 0.066 eV per atom
! ΔH_f (0 K): -0.35 eV/atom
! Calculated total energy: -68.21 eV per cell
&SYSTEM
  ibrav = 0, nat = 10, ntyp = 3
/
ATOMIC_SPECIES
Pb 207.20 Pb.upf
Ru 101.07 Ru.upf
Y 88.91 Y.upf
CELL_PARAMETERS angstrom
-7.2861 10.2509 4.4911
0.5356 6.0782 -1.5707
-2.0797 -5.3430 -2.6125
ATOMIC_POSITIONS angstrom
Pb -5.9620 14.9974 2.3953
Pb -2.8683 -4.0113 -2.0874
Ru -3.8074 12.1647 1.1021
Ru -5.0229 -1.1786 -0.7942
Y -2.9905 6.0930 -0.2665
Y -5.8398 4.8931 0.5744
Y -2.1586 -0.9243 -1.8069
Y -6.6717 11.9104 2.1148
Y -5.3807 8.2343 0.9921
Y -3.4496 2.7518 -0.6842

6.
! Y3RuPb (PBE-GGA, optimized geometry); values from VASP
! Density of states at the Fermi level: 1.038 states/eV per atom
! Offset from the most stable computed form: 0.712 eV per atom
! ΔH_f (0 K): 0.30 eV/atom
! Calculated total energy: -30.88 eV per cell
&SYSTEM
  ibrav = 0, nat = 5, ntyp = 3
/
ATOMIC_SPECIES
Pb 207.20 Pb.upf
Ru 101.07 Ru.upf
Y 88.91 Y.upf
CELL_PARAMETERS angstrom
5.1847 0.0000 2.3353
-2.5924 4.4901 2.3353
-2.5924 -4.4901 2.3353
ATOMIC_POSITIONS angstrom
Pb 0.0000 0.0000 4.4563
Ru 0.0000 0.0000 1.7041
Y 1.5991 -2.7698 4.6606
Y -3.1983 0.0000 4.6606
Y 1.5991 2.7698 4.6606

7.
! YRu4Pb (PBE-GGA, optimized geometry); values from VASP
! Density of states at the Fermi level: 1.512 states/eV per atom
! ΔH_f (0 K): 0.09 eV/atom
! Calculated total energy: -46.73 eV per cell
&SYSTEM
  ibrav = 0, nat = 6, ntyp = 3
/
ATOMIC_SPECIES
Y 88.91 Y.upf
Ru 101.07 Ru.upf
Pb 207.20 Pb.upf
CELL_PARAMETERS angstrom
-1.9201 0.2297 4.9509
-5.2315 -0.4141 0.8434
-1.9859 -4.3685 2.2857
ATOMIC_POSITIONS angstrom
Y -6.8531 -3.4146 6.0600
Ru -4.3856 -1.5887 5.5134
Ru -4.4187 -3.9003 4.1735
Ru -6.0503 -1.9124 3.4485
Ru -3.4204 -1.7042 3.0245
Pb 0.0000 0.0000 0.0000

8.
! Y3RuPb (PBE-GGA, optimized geometry); values from VASP
! Density of states at the Fermi level: 0.585 states/eV per atom
! Offset from the most stable computed form: 0.015 eV per atom
! ΔH_f (0 K): -0.40 eV/atom
! Calculated total energy: -68.72 eV per cell
&SYSTEM
  ibrav = 0, nat = 10, ntyp = 3
/
ATOMIC_SPECIES
Y 88.91 Y.upf
Ru 101.07 Ru.upf
Pb 207.20 Pb.upf
CELL_PARAMETERS angstrom
9.5087 -0.0003 -0.0008
0.0001 7.9654 0.4076
0.0002 -0.1857 3.6287
ATOMIC_POSITIONS angstrom
Y 4.8424 6.4226 3.9572
Y 8.0908 5.1736 3.8933
Y 0.0880 0.0496 1.8125
Y 6.8164 1.3483 3.6973
Y 2.0621 5.1235 2.0722
Y 3.3362 1.2983 1.8760
Ru 6.9710 7.1949 2.1777
Ru 2.2168 7.2416 3.9997
Pb 5.4119 3.8553 2.0068
Pb 0.6573 2.6173 3.7634

9.
! YRu2Pb (PBE-GGA, optimized geometry); values from VASP
! Density of states at the Fermi level: 0.659 states/eV per atom
! ΔH_f (0 K): -0.07 eV/atom
! Calculated total energy: -28.98 eV per cell
&SYSTEM
  ibrav = 0, nat = 4, ntyp = 3
/
ATOMIC_SPECIES
Pb 207.20 Pb.upf
Ru 101.07 Ru.upf
Y 88.91 Y.upf
CELL_PARAMETERS angstrom
3.4524 0.0000 0.0000
0.0000 4.6647 0.0000
0.0000 0.0000 4.6647
ATOMIC_POSITIONS angstrom
Pb 1.7262 0.0000 2.3324
Ru 0.0000 0.0000 0.0000
Ru 0.0000 2.3324 2.3324
Y 1.7262 2.3324 0.0000

10.
! Y3RuPb (PBE-GGA, optimized geometry); values from VASP
! Density of states at the Fermi level: 0.722 states/eV per atom
! Offset from the most stable computed form: 0.168 eV per atom
! ΔH_f (0 K): -0.24 eV/atom
! Calculated total energy: -33.59 eV per cell
&SYSTEM
  ibrav = 0, nat = 5, ntyp = 3
/
ATOMIC_SPECIES
Pb 207.20 Pb.upf
Ru 101.07 Ru.upf
Y 88.91 Y.upf
CELL_PARAMETERS angstrom
5.3156 0.0000 0.0000
0.0000 5.3156 0.0000
0.0000 0.0000 5.3156
ATOMIC_POSITIONS angstrom
Pb 2.6578 2.6578 2.6578
Ru 0.0000 0.0000 0.0000
Y 0.0000 2.6578 0.0000
Y 0.0000 0.0000 2.6578
Y 2.6578 0.0000 0.0000

11.
! Y3RuPb (PBE-GGA, optimized geometry); values from VASP
! Density of states at the Fermi level: 1.290 states/eV per atom
! Offset from the most stable computed form: 0.615 eV per atom
! ΔH_f (0 K): 0.20 eV/atom
! Calculated total energy: -62.72 eV per cell
&SYSTEM
  ibrav = 0, nat = 10, ntyp = 3
/
ATOMIC_SPECIES
Pb 207.20 Pb.upf
Ru 101.07 Ru.upf
Y 88.91 Y.upf
CELL_PARAMETERS angstrom
5.8527 0.0000 0.0000
0.0000 5.8527 0.0000
2.9264 2.9264 9.2901
ATOMIC_POSITIONS angstrom
Pb 5.8527 2.9264 8.3058
Pb 5.8527 2.9264 0.9843
Ru 0.0000 0.0000 0.0000
Ru 2.9264 5.8527 4.6450
Y 1.4858 5.8527 2.1710
Y 2.9264 7.2933 7.1190
Y 2.9264 4.4121 7.1190
Y 4.3670 5.8527 2.1710
Y 2.9264 2.9264 3.9266
Y 5.8527 5.8527 5.3635

12.
! YRu2Pb (PBE-GGA, optimized geometry); values from VASP
! Density of states at the Fermi level: 0.728 states/eV per atom
! ΔH_f (0 K): 0.18 eV/atom
! Calculated total energy: -27.99 eV per cell
&SYSTEM
  ibrav = 0, nat = 4, ntyp = 3
/
ATOMIC_SPECIES
Pb 207.20 Pb.upf
Ru 101.07 Ru.upf
Y 88.91 Y.upf
CELL_PARAMETERS angstrom
-0.9563 2.2634 -2.1770
-4.9832 -0.1038 2.0810
-2.1939 3.1053 4.1922
ATOMIC_POSITIONS angstrom
Pb -1.0970 1.5526 2.0961
Ru 0.0000 0.0000 0.0000
Ru -2.9698 1.0798 -0.0480
Y -4.0667 2.6324 2.0481